No. 1
PtWAu2: optimized geometry, PBE.

Results
* crystal system: monoclinic
* ΔH_f (0 K): 259 meV per atom
* calculated volume: 67.6 Å³ per cell
* excess energy over the best structure of this formula in the dataset: 0.259 eV per atom
* symmetry: P2/m (10)
* magnetization: 0.00 μB per cell

Unit cell a=2.777 b=4.912 c=4.956 alpha=90.00 beta=90.84 gamma=90.00
Sites, in units of the cell vectors:
Pt  0.000  0.000  0.000
W  0.500  0.000  0.500
Au  0.238  0.500  0.746
Au  0.762  0.500  0.254

No. 2
CeNdNi3: optimized geometry, PBE.

Results
* crystal system: monoclinic
* ΔH_f (0 K): -280 meV per atom
* calculated volume: 185.3 Å³ per cell
* symmetry: P2_1/m (11)
* magnetization: 0.00 μB per cell

Unit cell a=5.342 b=6.452 c=5.490 alpha=90.00 beta=101.75 gamma=90.00
Sites, in units of the cell vectors:
Ce  0.083  0.250  0.331
Ce  0.917  0.750  0.669
Nd  0.340  0.750  0.266
Nd  0.660  0.250  0.734
Ni  0.207  0.060  0.858
Ni  0.207  0.440  0.858
Ni  0.474  0.750  0.792
Ni  0.526  0.250  0.208
Ni  0.793  0.560  0.142
Ni  0.793  0.940  0.142

No. 3
NdY4Tm8: optimized geometry, PBE.

Results
* crystal system: trigonal
* ΔH_f (0 K): 208 meV per atom
* calculated volume: 408.1 Å³ per cell
* symmetry: R-3m (166)
* magnetization: 0.00 μB per cell

Unit cell a=9.835 b=9.835 c=9.835 alpha=43.45 beta=43.45 gamma=43.45
Sites, in units of the cell vectors:
Nd  0.000  0.000  0.000
Y  0.000  0.000  0.500
Y  0.000  0.500  0.000
Y  0.500  0.000  0.000
Y  0.500  0.500  0.500
Tm  0.250  0.250  0.690
Tm  0.250  0.690  0.250
Tm  0.281  0.281  0.281
Tm  0.310  0.750  0.750
Tm  0.690  0.250  0.250
Tm  0.719  0.719  0.719
Tm  0.750  0.310  0.750
Tm  0.750  0.750  0.310

No. 4
Ir3RhW: optimized geometry, PBE.

Results
* crystal system: monoclinic
* ΔH_f (0 K): -158 meV per atom
* calculated volume: 147.8 Å³ per cell
* excess energy over the best structure of this formula in the dataset: 0.000 eV per atom
* symmetry: C2/m (12)
* magnetization: 0.00 μB per cell

Unit cell a=8.622 b=8.622 c=6.514 alpha=105.52 beta=105.52 gamma=18.48
Sites, in units of the cell vectors:
Ir  0.020  0.020  0.229
Ir  0.183  0.183  0.384
Ir  0.215  0.215  0.815
Ir  0.785  0.785  0.185
Ir  0.817  0.817  0.616
Ir  0.980  0.980  0.771
Rh  0.386  0.386  0.986
Rh  0.614  0.614  0.014
W  0.415  0.415  0.408
W  0.585  0.585  0.592

No. 5
LaZrBe2: optimized geometry, PBE.

Results
* crystal system: monoclinic
* ΔH_f (0 K): 112 meV per atom
* calculated volume: 78.6 Å³ per cell
* excess energy over the best structure of this formula in the dataset: 0.036 eV per atom
* symmetry: Pm (6)
* magnetization: 0.00 μB per cell

Unit cell a=3.308 b=3.895 c=6.314 alpha=90.00 beta=105.03 gamma=90.00
Sites, in units of the cell vectors:
La  0.000  0.000  0.000
Zr  0.710  0.500  0.417
Be  0.286  0.000  0.568
Be  0.372  0.500  0.743

No. 6
KTlHg3: optimized geometry, PBE.

Results
* crystal system: cubic
* ΔH_f (0 K): -9 meV per atom
* calculated volume: 200.6 Å³ per cell
* excess energy over the best structure of this formula in the dataset: 0.151 eV per atom
* symmetry: Pm-3m (221)
* magnetization: 0.00 μB per cell

Unit cell a=5.854 b=5.854 c=5.854 alpha=90.00 beta=90.00 gamma=90.00
Sites, in units of the cell vectors:
K  0.000  0.000  0.000
Tl  0.500  0.500  0.500
Hg  0.000  0.500  0.500
Hg  0.500  0.000  0.500
Hg  0.500  0.500  0.000

No. 7
Cs3Ga5F12: optimized geometry, PBE.

Results
* crystal system: cubic
* calculated volume: 1779.3 Å³ per cell
* symmetry: Ia-3d (230)
* magnetization: 0.00 μB per cell
* E_form (uncorrected): -2.24 eV per atom

Unit cell a=13.222 b=13.222 c=13.222 alpha=109.47 beta=109.47 gamma=109.47
Sites, in units of the cell vectors:
Cs  0.125  0.250  0.375
Cs  0.125  0.375  0.750
Cs  0.250  0.375  0.125
Cs  0.250  0.875  0.625
Cs  0.375  0.125  0.250
Cs  0.375  0.750  0.125
Cs  0.625  0.250  0.875
Cs  0.625  0.875  0.750
Cs  0.750  0.125  0.375
Cs  0.750  0.625  0.875
Cs  0.875  0.625  0.250
Cs  0.875  0.750  0.625
Ga  0.000  0.000  0.000
Ga  0.000  0.000  0.500
Ga  0.000  0.500  0.000
Ga  0.000  0.500  0.500
Ga  0.125  0.750  0.875
Ga  0.125  0.875  0.250
Ga  0.250  0.125  0.875
Ga  0.250  0.625  0.375
Ga  0.375  0.250  0.625
Ga  0.375  0.625  0.750
Ga  0.500  0.000  0.000
Ga  0.500  0.000  0.500
Ga  0.500  0.500  0.000
Ga  0.500  0.500  0.500
Ga  0.625  0.375  0.250
Ga  0.625  0.750  0.375
Ga  0.750  0.375  0.625
Ga  0.750  0.875  0.125
Ga  0.875  0.125  0.750
Ga  0.875  0.250  0.125
F  0.001  0.713  0.117
F  0.001  0.788  0.884
F  0.097  0.712  0.713
F  0.097  0.884  0.383
F  0.116  0.617  0.903
F  0.116  0.999  0.212
F  0.117  0.001  0.713
F  0.117  0.616  0.403
F  0.212  0.116  0.999
F  0.212  0.597  0.213
F  0.213  0.212  0.597
F  0.213  0.501  0.617
F  0.287  0.883  0.999
F  0.287  0.903  0.288
F  0.288  0.287  0.903
F  0.288  0.501  0.384
F  0.383  0.097  0.884
F  0.383  0.787  0.499
F  0.384  0.288  0.501
F  0.384  0.597  0.883
F  0.403  0.117  0.616
F  0.403  0.787  0.788
F  0.499  0.383  0.787
F  0.499  0.616  0.712
F  0.501  0.384  0.288
F  0.501  0.617  0.213
F  0.597  0.213  0.212
F  0.597  0.883  0.384
F  0.616  0.403  0.117
F  0.616  0.712  0.499
F  0.617  0.213  0.501
F  0.617  0.903  0.116
F  0.712  0.499  0.616
F  0.712  0.713  0.097
F  0.713  0.097  0.712
F  0.713  0.117  0.001
F  0.787  0.499  0.383
F  0.787  0.788  0.403
F  0.788  0.403  0.787
F  0.788  0.884  0.001
F  0.883  0.384  0.597
F  0.883  0.999  0.287
F  0.884  0.001  0.788
F  0.884  0.383  0.097
F  0.903  0.116  0.617
F  0.903  0.288  0.287
F  0.999  0.212  0.116
F  0.999  0.287  0.883

No. 8
SrLi3Sb2: optimized geometry, PBE.

Results
* crystal system: monoclinic
* calculated volume: 293.2 Å³ per cell
* symmetry: C2/m (12)
* magnetization: 0.00 μB per cell
* E_form (uncorrected): -0.72 eV per atom

Unit cell a=8.839 b=8.839 c=8.307 alpha=118.03 beta=118.03 gamma=31.16
Sites, in units of the cell vectors:
Sr  0.138  0.138  0.137
Sr  0.862  0.862  0.863
Li  0.000  0.000  0.343
Li  0.000  0.000  0.657
Li  0.330  0.330  0.520
Li  0.331  0.331  0.141
Li  0.669  0.669  0.859
Li  0.670  0.670  0.480
Sb  0.192  0.192  0.692
Sb  0.500  0.500  0.173
Sb  0.500  0.500  0.827
Sb  0.808  0.808  0.308

No. 9
InSn3Se4: optimized geometry, PBE.

Results
* crystal system: orthorhombic
* calculated volume: 504.6 Å³ per cell
* excess energy over the best structure of this formula in the dataset: 0.071 eV per atom
* symmetry: Pmn2_1 (31)
* magnetization: 0.00 μB per cell
* E_form (uncorrected): -0.35 eV per atom

Unit cell a=8.393 b=9.936 c=6.050 alpha=90.00 beta=90.00 gamma=90.00
Sites, in units of the cell vectors:
In  0.000  0.175  0.000
In  0.500  0.825  0.500
Sn  0.000  0.862  0.501
Sn  0.221  0.654  0.999
Sn  0.279  0.346  0.499
Sn  0.500  0.138  0.001
Sn  0.721  0.346  0.499
Sn  0.779  0.654  0.999
Se  0.000  0.194  0.506
Se  0.000  0.888  0.010
Se  0.231  0.657  0.509
Se  0.269  0.343  0.009
Se  0.500  0.112  0.510
Se  0.500  0.806  0.006
Se  0.731  0.343  0.009
Se  0.769  0.657  0.509

No. 10
Ba8Ca3: optimized geometry, PBE.

Results
* crystal system: monoclinic
* ΔH_f (0 K): 25 meV per atom
* calculated volume: 622.4 Å³ per cell
* excess energy over the best structure of this formula in the dataset: 0.000 eV per atom
* symmetry: C2/m (12)
* magnetization: 0.00 μB per cell

Unit cell a=7.944 b=7.944 c=12.882 alpha=94.54 beta=94.54 gamma=50.23
Sites, in units of the cell vectors:
Ba  0.083  0.083  0.151
Ba  0.191  0.191  0.761
Ba  0.271  0.271  0.416
Ba  0.363  0.363  0.052
Ba  0.637  0.637  0.948
Ba  0.729  0.729  0.584
Ba  0.809  0.809  0.239
Ba  0.917  0.917  0.849
Ca  0.000  0.000  0.500
Ca  0.463  0.463  0.665
Ca  0.537  0.537  0.335

No. 11
Be2AlCuAu4: optimized geometry, PBE.

Results
* crystal system: trigonal
* ΔH_f (0 K): -133 meV per atom
* calculated volume: 118.6 Å³ per cell
* symmetry: R-3m (166)
* magnetization: 0.00 μB per cell

Unit cell a=8.027 b=8.027 c=8.027 alpha=30.58 beta=30.58 gamma=30.58
Sites, in units of the cell vectors:
Be  0.228  0.228  0.228
Be  0.772  0.772  0.772
Al  0.000  0.000  0.000
Cu  0.500  0.500  0.500
Au  0.118  0.118  0.118
Au  0.377  0.377  0.377
Au  0.623  0.623  0.623
Au  0.882  0.882  0.882

No. 12
Pm3HoGa2: optimized geometry, PBE.

Results
* crystal system: monoclinic
* ΔH_f (0 K): -336 meV per atom
* calculated volume: 335.5 Å³ per cell
* excess energy over the best structure of this formula in the dataset: 0.069 eV per atom
* symmetry: C2/m (12)
* magnetization: 0.00 μB per cell

Unit cell a=8.992 b=8.992 c=9.252 alpha=112.87 beta=112.87 gamma=29.32
Sites, in units of the cell vectors:
Pm  0.043  0.043  0.189
Pm  0.321  0.321  0.570
Pm  0.349  0.349  0.022
Pm  0.651  0.651  0.978
Pm  0.679  0.679  0.430
Pm  0.957  0.957  0.811
Ho  0.117  0.117  0.641
Ho  0.883  0.883  0.359
Ga  0.233  0.233  0.215
Ga  0.494  0.494  0.357
Ga  0.506  0.506  0.643
Ga  0.767  0.767  0.785

Q: The highest calculated volume belongs to which entry?
A: Cs3Ga5F12

Copy entry 11 word for word.
Be2AlCuAu4: optimized geometry, PBE.

Results
* crystal system: trigonal
* ΔH_f (0 K): -133 meV per atom
* calculated volume: 118.6 Å³ per cell
* symmetry: R-3m (166)
* magnetization: 0.00 μB per cell

Unit cell a=8.027 b=8.027 c=8.027 alpha=30.58 beta=30.58 gamma=30.58
Sites, in units of the cell vectors:
Be  0.228  0.228  0.228
Be  0.772  0.772  0.772
Al  0.000  0.000  0.000
Cu  0.500  0.500  0.500
Au  0.118  0.118  0.118
Au  0.377  0.377  0.377
Au  0.623  0.623  0.623
Au  0.882  0.882  0.882